First-principles (PBE) data for a geometry-optimized UGeAu structure, as listed in Alexandria.

```
UGeAu
1.0
-1.912 0.896 -3.459
-1.618 -2.682 2.573
-4.381 6.610 4.135
Au U Ge
2 2 2
Cartesian
-3.580 2.369 0.219 Au
-4.331 2.455 3.031 Au
-2.085 0.113 -1.192 U
-5.826 4.712 4.442 U
-2.925 0.336 1.704 Ge
-4.986 4.488 1.545 Ge
```

Calculated values
Total magnetic moment: 0.000 μB per atom
E: -38.456 eV/cell